Below is an optimized crystal structure of NaSc2TaIr, with properties calculated at the GGA-PBEsol level.

Output
The formation energy comes out at 0.90 eV per atom. The space group is No. 123. Its uncorrected energy is -6.499 eV per atom.

Cell: 4.8755 4.8755 5.0246 Å, 90.00 90.00 90.00°
Last column: nearest neighbours and their distance in Å.
Positions (direct):
Na1 0.0000 0.0000 0.0000  2 Ir 2.51
Sc1 0.0000 0.5000 0.5000  2 Ir 2.44
Sc2 0.5000 0.0000 0.5000  2 Ir 2.44
Ta1 0.5000 0.5000 0.0000  4 Na 3.45, 8 Sc 3.50
Ir1 0.0000 0.0000 0.5000  4 Sc 2.44, 2 Na 2.51

***

Below is an optimized crystal structure of Na3SiIr, with properties calculated at the GGA-PBEsol level.

Output
The formation energy from raw total energies is 1.29 eV per atom. The space group is No. 221. Its uncorrected energy is -2.665 eV per atom.

Cell: 5.2592 5.2592 5.2592 Å, 90.00 90.00 90.00°
Last column: nearest neighbours and their distance in Å.
Positions (direct):
Na1 0.0000 0.0000 0.5000  2 Ir 2.63
Na2 0.0000 0.5000 0.0000  2 Ir 2.63
Na3 0.5000 0.0000 0.0000  2 Ir 2.63
Si1 0.5000 0.5000 0.5000  12 Na 3.72
Ir1 0.0000 0.0000 0.0000  6 Na 2.63

***

- Which of these has the lowest uncorrected energy?
  NaSc2TaIr